Density functional theory data (PBE) for a relaxed Y2Ga4Ir5 crystal.

Geometry as POSCAR:
```
Y2Ga4Ir5
1.0
5.664 0.000 0.000
2.832 4.753 0.000
2.832 0.000 7.536
Y Ir Ga
2 5 4
Direct
0.119 0.000 0.763
0.881 0.000 0.237
0.500 0.000 0.000
0.000 0.500 0.000
0.750 0.500 0.500
0.500 0.500 0.000
0.250 0.500 0.500
0.475 0.312 0.738
0.525 0.688 0.262
0.213 0.312 0.262
0.787 0.688 0.738
```

Computed properties:
**Energy relative to the elements**: -0.614 eV per atom
**SG**: Fmmm, No. 69
**Density**: 11.6 g cm⁻³